[1]
Below is SiPtIO2 after structural relaxation, with properties calculated at the PBE level.

Properties
Calculated density ... 5.5 g cm⁻³
Distance to the lowest polymorph of the same formula ... 912 meV/atom
ΔE_f (raw) ... 357 meV/atom
Calculated volume ... 115.6 Å³/cell

abc: 3.865 3.865 7.739
angles: 90.00 90.00 90.00
Space group P4/mmm (No. 123)
Unique sites:
Si  0.000  0.000  0.000 x1
Pt  0.500  0.500  0.500 x1
I  0.500  0.500  0.000 x1
O  0.000  0.500  0.500 x2

=====

[2]
Below is Pm5CdOs2 after structural relaxation, with properties calculated at the PBE level.

Properties
Uncorrected energy ... -6.0770 eV per atom
Calculated density ... 9.2 g cm⁻³
Calculated volume ... 881.0 Å³/cell

abc: 7.987 7.987 13.811
angles: 90.00 90.00 90.00
Space group I4/mcm (No. 140)
Unique sites:
Pm  0.000  0.000  0.000 x4
Pm  0.159  0.341  0.131 x16
Cd  0.000  0.000  0.250 x4
Os  0.141  0.359  0.500 x8

=====

[3]
Below is CeHfI after structural relaxation, with properties calculated at the PBE level.

Properties
Calculated density ... 8.4 g cm⁻³
ΔE_f (raw) ... -292 meV/atom
Calculated volume ... 176.3 Å³/cell

abc: 3.610 5.048 9.840
angles: 90.00 100.55 90.00
Space group P2_1/m (No. 11)
Unique sites:
Ce  0.117  0.250  0.234 x2
Hf  0.470  0.250  0.941 x2
I  0.313  0.250  0.625 x2

=====

[4]
Below is Mn2AlP after structural relaxation, with properties calculated at the PBE level.

Properties
Calculated density ... 5.7 g cm⁻³
Distance to the lowest polymorph of the same formula ... 374 meV/atom
Calculated volume ... 195.5 Å³/cell

abc: 5.804 5.804 5.804
angles: 90.00 90.00 90.00
Space group F-43m (No. 216)
Unique sites:
Mn  0.000  0.000  0.000 x4
Mn  0.250  0.250  0.250 x4
Al  0.000  0.000  0.500 x4
P  0.250  0.250  0.750 x4